LaPmNdSm: optimized geometry, PBE.

Output
Energy of formation   127 meV per atom
Size of the total moment   0.0 μB/cell

The structure in CIF format:
```
data_LaPmNdSm
_cell_length_a 5.847
_cell_length_b 5.847
_cell_length_c 5.847
_cell_angle_alpha 60.00
_cell_angle_beta 60.00
_cell_angle_gamma 60.00
_symmetry_space_group_name_H-M 'P 1'
_symmetry_Int_Tables_number 1
_symmetry_space_group_name_Hall 'P 1'
loop_
_atom_site_label
_atom_site_type_symbol
_atom_site_fract_x
_atom_site_fract_y
_atom_site_fract_z
_atom_site_occupancy
Pm1 Pm 0.000 0.000 0.000 1
Nd1 Nd 0.750 0.750 0.750 1
Sm1 Sm 0.500 0.500 0.500 1
La1 La 0.250 0.250 0.250 1
```

***

Sm7Er2Tm3: optimized geometry, PBE.

Output
Energy of formation   118 meV per atom
Size of the total moment   0.0 μB/cell

The structure in CIF format:
```
data_Sm7Er2Tm3
_cell_length_a 3.603
_cell_length_b 5.728
_cell_length_c 19.116
_cell_angle_alpha 98.62
_cell_angle_beta 90.00
_cell_angle_gamma 90.00
_symmetry_space_group_name_H-M 'P 1'
_symmetry_Int_Tables_number 1
_symmetry_space_group_name_Hall 'P 1'
loop_
_atom_site_label
_atom_site_type_symbol
_atom_site_fract_x
_atom_site_fract_y
_atom_site_fract_z
_atom_site_occupancy
Sm1 Sm 0.000 0.407 0.814 1
Sm2 Sm 0.000 0.768 0.536 1
Sm3 Sm 0.000 0.000 0.000 1
Sm4 Sm 0.000 0.593 0.186 1
Sm5 Sm 0.500 0.073 0.145 1
Sm6 Sm 0.500 0.927 0.855 1
Sm7 Sm 0.000 0.232 0.464 1
Er1 Er 0.000 0.851 0.702 1
Er2 Er 0.000 0.149 0.298 1
Tm1 Tm 0.500 0.500 0.000 1
Tm2 Tm 0.500 0.685 0.369 1
Tm3 Tm 0.500 0.315 0.631 1
```

***

- Number 2 is which compound?
  Sm7Er2Tm3